(1)
VASP calculation (PBE) on an optimized crystal structure of GeOsPb3.

Output
- Size of the total moment: 0.0 μB/f.u.
- ΔH_f (0 K): 0.682 eV/atom
- Energy relative to the lowest polymorph listed for this composition: 0 meV/atom

a = 5.2955 Å, b = 5.2955 Å, c = 5.2955 Å
α = 90.00°, β = 90.00°, γ = 90.00°
Last column: nearest neighbours and their distance in Å.
Fractional coordinates of all 5 atoms:
Ge 0.0000 0.0000 0.0000  12 Pb 3.74
Os 0.5000 0.5000 0.5000  6 Pb 2.65
Pb 0.0000 0.5000 0.5000  2 Os 2.65
Pb 0.5000 0.0000 0.5000  2 Os 2.65
Pb 0.5000 0.5000 0.0000  2 Os 2.65

***

(2)
VASP calculation (PBE) on an optimized crystal structure of Dy6Y3Ho2Sc.

Output
- Size of the total moment: 0.0 μB/f.u.
- ΔH_f (0 K): 0.030 eV/atom

a = 6.1025 Å, b = 6.1025 Å, c = 11.6709 Å
α = 94.98°, β = 94.98°, γ = 119.95°
Last column: nearest neighbours and their distance in Å.
Fractional coordinates of all 12 atoms:
Dy 0.0818 0.4129 0.2459  1 Sc 3.47, 2 Ho 3.49, 6 Dy 3.50-3.54, 3 Y 3.55-3.57
Dy 0.2493 0.2493 0.7538  1 Sc 3.48, 2 Ho 3.49, 6 Dy 3.50-3.54, 3 Y 3.55-3.56
Dy 0.4129 0.0818 0.2459  1 Sc 3.47, 2 Ho 3.49, 6 Dy 3.50-3.54, 3 Y 3.55-3.57
Dy 0.5871 0.9182 0.7541  1 Sc 3.47, 2 Ho 3.49, 6 Dy 3.50-3.54, 3 Y 3.55-3.57
Dy 0.7507 0.7507 0.2462  1 Sc 3.48, 2 Ho 3.49, 6 Dy 3.50-3.54, 3 Y 3.55-3.56
Dy 0.9182 0.5871 0.7541  1 Sc 3.47, 2 Ho 3.49, 6 Dy 3.50-3.54, 3 Y 3.55-3.57
Y 0.1665 0.8335 0.5000  6 Y 3.52-3.53, 6 Dy 3.55-3.57
Y 0.5000 0.5000 0.5000  6 Y 3.52, 6 Dy 3.56
Y 0.8335 0.1665 0.5000  6 Y 3.52-3.53, 6 Dy 3.55-3.57
Ho 0.3334 0.6666 0.0000  6 Dy 3.49, 3 Ho 3.52-3.53, 3 Sc 3.52
Ho 0.6666 0.3334 0.0000  6 Dy 3.49, 3 Ho 3.52-3.53, 3 Sc 3.52
Sc 0.0000 0.0000 0.0000  6 Dy 3.47-3.48, 6 Ho 3.52

***

(3)
VASP calculation (PBE) on an optimized crystal structure of BRhCl2.

Output
- Size of the total moment: 0.0 μB/f.u.
- Energy relative to the lowest polymorph listed for this composition: 0 meV/atom
- Uncorrected formation energy: 3.26 eV per formula unit

a = 8.0017 Å, b = 8.0017 Å, c = 8.0017 Å
α = 22.50°, β = 22.50°, γ = 22.50°
Last column: nearest neighbours and their distance in Å.
Fractional coordinates of all 4 atoms:
B 0.0000 0.0000 0.0000  2 Cl 1.69
Rh 0.5000 0.5000 0.5000  6 Cl 2.85, 6 Rh 3.12
Cl 0.0723 0.0723 0.0723  1 B 1.69
Cl 0.9277 0.9277 0.9277  1 B 1.69

***

(4)
VASP calculation (PBE) on an optimized crystal structure of BeReRh.

Output
- Size of the total moment: 0.0 μB/f.u.
- ΔH_f (0 K): -0.250 eV/atom
- Energy relative to the lowest polymorph listed for this composition: 29 meV/atom

a = 5.0902 Å, b = 5.0902 Å, c = 5.6191 Å
α = 107.03°, β = 107.03°, γ = 32.24°
Last column: nearest neighbours and their distance in Å.
Fractional coordinates of all 6 atoms:
Be 0.0000 0.0000 0.0000  4 Rh 2.43, 4 Re 2.47
Be 0.0000 0.0000 0.5000  4 Rh 2.38, 4 Re 2.56
Re 0.3356 0.3356 0.6773  4 Be 2.47-2.56, 2 Re 2.60, 2 Rh 2.65
Re 0.6644 0.6644 0.3227  4 Be 2.47-2.56, 2 Re 2.60, 2 Rh 2.65
Rh 0.3559 0.3559 0.1817  4 Be 2.38-2.43, 2 Re 2.65
Rh 0.6441 0.6441 0.8183  4 Be 2.38-2.43, 2 Re 2.65

***

(5)
VASP calculation (PBE) on an optimized crystal structure of Nb2NiAgCl.

Output
- Size of the total moment: 0.0 μB/f.u.
- Uncorrected formation energy: 3.05 eV per formula unit

a = 4.6002 Å, b = 4.6002 Å, c = 4.1139 Å
α = 90.00°, β = 90.00°, γ = 90.00°
Last column: nearest neighbours and their distance in Å.
Fractional coordinates of all 5 atoms:
Nb 0.0000 0.5000 0.0000  2 Cl 2.30
Nb 0.5000 0.0000 0.0000  2 Cl 2.30
Ni 0.0000 0.0000 0.5000  2 Cl 2.06
Ag 0.5000 0.5000 0.5000  8 Nb 3.09, 4 Ni 3.25
Cl 0.0000 0.0000 0.0000  2 Ni 2.06, 4 Nb 2.30

***

(6)
VASP calculation (PBE) on an optimized crystal structure of BaUAs2.

Output
- Size of the total moment: 2.0 μB/f.u.
- ΔH_f (0 K): -0.899 eV/atom
- Energy relative to the lowest polymorph listed for this composition: 0 meV/atom

a = 7.8707 Å, b = 7.8707 Å, c = 7.8707 Å
α = 31.81°, β = 31.81°, γ = 31.81°
Last column: nearest neighbours and their distance in Å.
Fractional coordinates of all 4 atoms:
Ba 0.0000 0.0000 0.0000  6 As 3.35
U 0.5000 0.5000 0.5000  6 As 2.91
As 0.2336 0.2336 0.2336  3 U 2.91
As 0.7664 0.7664 0.7664  3 U 2.91

***

(7)
VASP calculation (PBE) on an optimized crystal structure of CeDyCd.

Output
- Size of the total moment: 0.7 μB/f.u.
- ΔH_f (0 K): -0.138 eV/atom
- Energy relative to the lowest polymorph listed for this composition: 0 meV/atom

a = 8.9037 Å, b = 8.9037 Å, c = 5.3784 Å
α = 90.00°, β = 90.00°, γ = 157.30°
Last column: nearest neighbours and their distance in Å.
Fractional coordinates of all 6 atoms:
Ce 0.2297 0.7703 0.7500  6 Ce 3.29-3.50, 2 Cd 3.36, 4 Dy 3.60-3.63
Ce 0.7703 0.2297 0.2500  6 Ce 3.29-3.50, 2 Cd 3.36, 4 Dy 3.60-3.63
Dy 0.0902 0.9098 0.2500  6 Cd 3.23-3.24, 2 Dy 3.50, 2 Ce 3.60
Dy 0.9098 0.0902 0.7500  6 Cd 3.23-3.24, 2 Dy 3.50, 2 Ce 3.60
Cd 0.4346 0.5654 0.2500  6 Dy 3.23-3.24, 2 Ce 3.36, 4 Cd 3.50-3.53
Cd 0.5654 0.4346 0.7500  6 Dy 3.23-3.24, 2 Ce 3.36, 4 Cd 3.50-3.53

***

(8)
VASP calculation (PBE) on an optimized crystal structure of NiTe2PtN.

Output
- Size of the total moment: 0.0 μB/f.u.
- Energy relative to the lowest polymorph listed for this composition: 0 meV/atom
- Uncorrected formation energy: 2.32 eV per formula unit

a = 5.2609 Å, b = 5.2609 Å, c = 3.3502 Å
α = 90.00°, β = 90.00°, γ = 90.00°
Last column: nearest neighbours and their distance in Å.
Fractional coordinates of all 5 atoms:
Ni 0.0000 0.0000 0.0000  2 N 1.68
Te 0.0000 0.5000 0.0000  2 Ni 2.63
Te 0.5000 0.0000 0.0000  2 Ni 2.63
Pt 0.5000 0.5000 0.5000  8 Te 3.12, 2 Pt 3.35
N 0.0000 0.0000 0.5000  2 Ni 1.68